Ba3LiGa2 | PBE-GGA | optimized geometry

Cell and atoms, written as extended XYZ:
```
24
Lattice="7.037 0.000 0.000 0.000 10.860 0.000 -3.240 0.000 11.346" Properties=species:S:1:pos:R:3 pbc="T T T"
Ba 0.038 1.501 4.850
Ba -1.582 3.929 10.523
Ba -1.353 7.788 9.866
Ba 0.266 8.503 4.193
Ba 0.018 5.442 6.725
Ba 1.638 10.848 1.052
Ba 2.159 0.012 10.294
Ba 3.779 5.418 4.621
Ba 3.530 2.358 7.153
Ba 5.150 3.072 1.480
Ba 5.379 6.932 0.823
Ba 3.759 9.359 6.496
Li 0.300 2.070 8.417
Li 1.920 3.360 2.744
Li 1.877 7.501 8.602
Li 3.497 8.790 2.929
Ga -1.511 0.278 9.025
Ga 0.108 5.152 3.352
Ga 1.986 6.335 1.903
Ga 0.367 9.956 7.576
Ga 3.430 0.905 3.770
Ga 1.810 4.525 9.443
Ga 3.688 5.708 7.994
Ga 5.308 10.582 2.321
```

Computed properties:
Formation enthalpy at 0 K   -0.219 eV per atom
Space-group type   P2_1/c, No. 14
D(E_F)   0.85 states/eV per atom



BaLi4Ga | PBE-GGA | optimized geometry

Cell and atoms, written as extended XYZ:
```
12
Lattice="6.949 -4.083 0.000 6.949 4.083 0.000 -0.698 0.000 5.204" Properties=species:S:1:pos:R:3 pbc="T T T"
Ba 6.425 2.538 3.903
Ba 6.774 -2.538 1.301
Li 2.334 0.719 4.843
Li 2.683 -0.719 2.241
Li 5.149 0.620 1.307
Li 4.800 -0.620 3.909
Li 8.399 0.620 1.295
Li 8.050 -0.620 3.897
Li 10.516 0.719 2.963
Li 10.865 -0.719 0.361
Ga 3.125 2.041 2.602
Ga 3.474 -2.041 0.000
```

Computed properties:
Formation enthalpy at 0 K   -0.087 eV per atom
Space-group type   C2/c, No. 15
D(E_F)   0.85 states/eV per atom
Energy above the most stable polymorph in this dataset   0.094 eV per formula unit



BaLi4Ga | PBE-GGA | optimized geometry

Cell and atoms, written as extended XYZ:
```
12
Lattice="8.212 0.000 0.000 0.000 4.588 0.000 0.000 0.000 8.300" Properties=species:S:1:pos:R:3 pbc="T T T"
Ba 2.053 0.000 0.884
Ba 6.159 0.000 7.416
Li 0.000 0.000 4.150
Li 0.633 2.294 6.399
Li 2.053 2.294 4.019
Li 3.473 2.294 6.399
Li 4.106 0.000 4.150
Li 4.739 2.294 1.901
Li 6.159 2.294 4.281
Li 7.579 2.294 1.901
Ga 2.053 0.000 5.832
Ga 6.159 0.000 2.468
```

Computed properties:
Formation enthalpy at 0 K   -0.103 eV per atom
Space-group type   Pmma, No. 51
D(E_F)   0.62 states/eV per atom
Energy above the most stable polymorph in this dataset   0.000 eV per formula unit



Ba2LiGa2 | PBE-GGA | optimized geometry

Cell and atoms, written as extended XYZ:
```
10
Lattice="9.688 0.000 0.000 0.000 9.688 0.000 0.000 0.000 3.642" Properties=species:S:1:pos:R:3 pbc="T T T"
Ba 1.801 3.043 0.000
Ba 3.043 7.887 0.000
Ba 6.645 1.801 0.000
Ba 7.887 6.645 0.000
Li 0.000 0.000 0.000
Li 4.844 4.844 0.000
Ga 1.011 5.855 1.821
Ga 3.833 1.011 1.821
Ga 5.855 8.676 1.821
Ga 8.676 3.833 1.821
```

Computed properties:
Formation enthalpy at 0 K   -0.065 eV per atom
Space-group type   P4/mbm, No. 127
D(E_F)   0.60 states/eV per atom
Energy above the most stable polymorph in this dataset   1.070 eV per formula unit



Ba2Li15Ga2 | PBE-GGA | optimized geometry

Cell and atoms, written as extended XYZ:
```
19
Lattice="5.177 2.989 4.749 -5.177 2.989 4.749 0.000 -5.978 4.749" Properties=species:S:1:pos:R:3 pbc="T T T"
Ba 0.000 0.000 2.196
Ba 0.000 0.000 12.051
Li -2.588 -1.494 4.749
Li 0.000 -2.719 4.470
Li -2.354 1.359 4.470
Li -1.322 -2.290 7.123
Li -2.644 0.000 7.123
Li -2.354 -1.359 9.776
Li -2.588 1.494 9.498
Li 1.322 -2.290 7.123
Li 0.000 2.989 4.749
Li -1.322 2.290 7.123
Li 2.354 1.359 4.470
Li 2.644 0.000 7.123
Li 1.322 2.290 7.123
Li 2.354 -1.359 9.776
Li 0.000 2.719 9.776
Ga 0.000 0.000 5.728
Ga 0.000 0.000 8.518
```

Computed properties:
Formation enthalpy at 0 K   -0.048 eV per atom
Space-group type   R-3m, No. 166
D(E_F)   0.66 states/eV per atom



BaLi3Ga | PBE-GGA | optimized geometry

Cell and atoms, written as extended XYZ:
```
5
Lattice="5.978 0.000 0.000 0.000 5.978 0.000 0.000 0.000 5.978" Properties=species:S:1:pos:R:3 pbc="T T T"
Ba 0.000 0.000 0.000
Li 0.000 0.000 2.989
Li 0.000 2.989 0.000
Li 2.989 0.000 0.000
Ga 2.989 2.989 2.989
```

Computed properties:
Formation enthalpy at 0 K   0.999 eV per atom
Space-group type   Pm-3m, No. 221
D(E_F)   1.19 states/eV per atom
Energy above the most stable polymorph in this dataset   5.677 eV per formula unit



Ba2Li3Ga2 | PBE-GGA | optimized geometry

Cell and atoms, written as extended XYZ:
```
14
Lattice="12.306 0.000 0.000 0.000 4.751 0.000 -4.055 0.000 6.762" Properties=species:S:1:pos:R:3 pbc="T T T"
Ba 0.707 0.000 1.785
Ba 1.391 2.376 4.976
Ba 6.860 2.376 1.785
Ba 7.544 0.000 4.976
Li -2.027 2.376 3.381
Li -1.782 2.376 6.300
Li 3.880 0.000 0.462
Li 4.126 0.000 3.381
Li 4.371 0.000 6.300
Li 10.033 2.376 0.462
Ga -1.329 0.000 4.591
Ga 3.428 2.376 2.171
Ga 4.824 2.376 4.591
Ga 9.581 0.000 2.171
```

Computed properties:
Formation enthalpy at 0 K   -0.208 eV per atom
Space-group type   C2/m, No. 12
D(E_F)   0.74 states/eV per atom
Energy above the most stable polymorph in this dataset   0.000 eV per formula unit



BaLi4Ga | PBE-GGA | optimized geometry

Cell and atoms, written as extended XYZ:
```
6
Lattice="0.000 4.102 4.102 4.102 0.000 4.102 4.102 4.102 0.000" Properties=species:S:1:pos:R:3 pbc="T T T"
Ba 0.000 0.000 0.000
Li 3.109 3.109 3.109
Li 5.096 5.096 3.109
Li 5.096 3.109 5.096
Li 3.109 5.096 5.096
Ga 6.153 6.153 6.153
```

Computed properties:
Formation enthalpy at 0 K   -0.070 eV per atom
Space-group type   F-43m, No. 216
D(E_F)   0.69 states/eV per atom
Energy above the most stable polymorph in this dataset   0.200 eV per formula unit



Ba3Li9Ga2 | PBE-GGA | optimized geometry

Cell and atoms, written as extended XYZ:
```
14
Lattice="-2.462 5.603 7.066 2.462 -5.603 7.066 2.462 5.603 -7.066" Properties=species:S:1:pos:R:3 pbc="T T T"
Ba 0.000 0.000 0.000
Ba 0.000 0.000 4.510
Ba 0.000 0.000 9.622
Li 2.462 -1.971 2.502
Li 2.462 -2.437 5.661
Li 2.462 1.971 2.502
Li 0.000 3.167 1.405
Li 0.000 5.603 0.000
Li 2.462 2.437 5.661
Li 0.000 3.632 4.563
Li 0.000 8.040 1.405
Li 0.000 7.574 4.563
Ga 2.462 3.230 0.000
Ga 0.000 2.374 7.066
```

Computed properties:
Formation enthalpy at 0 K   -0.080 eV per atom
Space-group type   Immm, No. 71
D(E_F)   0.66 states/eV per atom



BaLiGa | PBE-GGA | optimized geometry

Cell and atoms, written as extended XYZ:
```
6
Lattice="5.210 0.000 0.000 0.000 4.875 0.000 -0.256 0.000 6.921" Properties=species:S:1:pos:R:3 pbc="T T T"
Ba 1.179 1.219 2.440
Ba 3.776 3.656 4.481
Li 1.731 3.656 0.022
Li 3.224 1.219 6.899
Ga 0.509 1.219 5.954
Ga 4.446 3.656 0.967
```

Computed properties:
Formation enthalpy at 0 K   -0.222 eV per atom
Space-group type   P2_1/m, No. 11
D(E_F)   0.43 states/eV per atom
Energy above the most stable polymorph in this dataset   0.234 eV per formula unit



BaLi2Ga2 | PBE-GGA | optimized geometry

Cell and atoms, written as extended XYZ:
```
10
Lattice="5.012 0.000 0.000 0.000 5.012 0.000 0.000 0.000 9.677" Properties=species:S:1:pos:R:3 pbc="T T T"
Ba 0.000 0.000 0.000
Ba 2.506 2.506 4.838
Li 0.000 2.506 2.419
Li 0.000 2.506 7.257
Li 2.506 0.000 2.419
Li 2.506 0.000 7.257
Ga 0.000 0.000 3.598
Ga 0.000 0.000 6.078
Ga 2.506 2.506 1.240
Ga 2.506 2.506 8.436
```

Computed properties:
Formation enthalpy at 0 K   -0.297 eV per atom
Space-group type   I4/mmm, No. 139
D(E_F)   0.43 states/eV per atom
Energy above the most stable polymorph in this dataset   0.000 eV per formula unit



Ba8LiGa2 | PBE-GGA | optimized geometry

Cell and atoms, written as extended XYZ:
```
11
Lattice="10.826 -2.924 0.000 10.826 2.924 0.000 -2.623 0.000 8.090" Properties=species:S:1:pos:R:3 pbc="T T T"
Ba 0.114 0.000 2.301
Ba 2.180 0.000 6.640
Ba 5.620 0.000 4.280
Ba 8.569 0.000 0.256
Ba 10.460 0.000 7.833
Ba 13.409 0.000 3.810
Ba 16.849 0.000 1.449
Ba 18.915 0.000 5.789
Li 9.515 0.000 4.045
Ga 3.485 0.000 1.665
Ga 15.545 0.000 6.425
```

Computed properties:
Formation enthalpy at 0 K   -0.119 eV per atom
Space-group type   C2/m, No. 12
D(E_F)   1.04 states/eV per atom